Zr2ScN | PBE | optimized geometry

## Properties
Energy relative to the elements, uncorrected in eV per atom: -0.670
SG: No. 166
Total magnetization in μB per formula unit: 0.000
Final energy in eV per formula unit: -34.433

Cell: 3.2349 3.2349 8.6486 Å, 79.22 79.22 60.00°
Last column: nearest neighbours and their distance in Å.
Element x y z (fractional)
Zr: 0.1167 0.1167 0.6500  3 N 2.26
Zr: 0.8833 0.8833 0.3500  3 N 2.26
N: 0.5000 0.5000 0.5000  6 Zr 2.26
Sc: 0.0000 0.0000 0.0000  2 Zr 2.96, 6 Sc 3.23